Below is a relaxed MnZnO3 crystal, with properties calculated at the GGA+U level.

Output
final energy	-61.082	eV/cell
space-group type	No. 148
size of the total moment	3.00	μB/f.u.

Cell lengths 5.4927, 5.4927, 5.4927 Å; angles 54.81, 54.81, 54.81 degrees
Element x y z (fractional)
Mn (0.1590, 0.1590, 0.1590)
Mn (0.8410, 0.8410, 0.8410)
Zn (0.3668, 0.3668, 0.3668)
Zn (0.6332, 0.6332, 0.6332)
O (0.0472, 0.7815, 0.4390)
O (0.2185, 0.5610, 0.9528)
O (0.4390, 0.0472, 0.7815)
O (0.5610, 0.9528, 0.2185)
O (0.7815, 0.4390, 0.0472)
O (0.9528, 0.2185, 0.5610)